First-principles (GGA-PBE) data for a geometry-optimized Sc3HgN structure, as listed in Alexandria via LeMat-Bulk.

Structure (POSCAR):
```
Sc3HgN
1.0
7.2016 -1.7457 0.0000
7.2016 1.7457 0.0000
-0.1181 0.0000 8.0111
Sc Hg N
6 2 2
direct
0.0240 0.0240 0.3102
0.2036 0.2036 0.1410
0.3354 0.3354 0.4601
0.6646 0.6646 0.5399
0.7964 0.7964 0.8590
0.9760 0.9760 0.6898
0.4055 0.4055 0.0888
0.5945 0.5945 0.9112
0.1833 0.1833 0.3926
0.8167 0.8167 0.6074
```

Output
The calculated total energy is -62.28 eV/cell. As for the space group: No. 12. The value obtained for the uncorrected formation energy is -0.704 eV/atom.

=====

First-principles (GGA-PBE) data for a geometry-optimized Sc3HgN structure, as listed in Alexandria via LeMat-Bulk.

Structure (POSCAR):
```
Sc3HgN
1.0
5.3487 0.0000 0.0000
-0.0011 6.2733 0.0000
-0.0056 -3.1356 5.4337
Sc Hg N
6 2 2
direct
0.2495 0.3384 0.1797
0.2501 0.3412 0.6616
0.2504 0.8203 0.6587
0.7496 0.1797 0.3413
0.7499 0.6588 0.3384
0.7505 0.6616 0.8203
0.2500 0.8333 0.1667
0.7500 0.1667 0.8333
0.0000 0.5000 0.5000
0.5000 0.5000 0.5000
```

Output
The calculated total energy is -65.12 eV/cell. As for the space group: No. 2. The value obtained for the uncorrected formation energy is -0.987 eV/atom.

=====

First-principles (GGA-PBE) data for a geometry-optimized Sc3HgN structure, as listed in Alexandria via LeMat-Bulk.

Structure (POSCAR):
```
Sc3HgN
1.0
5.1868 -2.2647 0.0000
5.1868 2.2647 0.0000
-4.2697 0.0000 8.2210
Sc Hg N
6 2 2
direct
0.0271 0.0271 0.1762
0.3150 0.3150 0.9424
0.3596 0.3596 0.3082
0.6404 0.6404 0.6918
0.6850 0.6850 0.0576
0.9729 0.9729 0.8238
0.2968 0.2968 0.6122
0.7032 0.7032 0.3878
0.1750 0.1750 0.0671
0.8250 0.8250 0.9329
```

Output
The calculated total energy is -63.39 eV/cell. As for the space group: No. 12. The value obtained for the uncorrected formation energy is -0.815 eV/atom.

=====

First-principles (GGA-PBE) data for a geometry-optimized Sc3HgN structure, as listed in Alexandria via LeMat-Bulk.

Structure (POSCAR):
```
Sc3HgN
1.0
5.3013 -6.2575 0.0000
5.3013 6.2575 0.0000
-0.0772 0.0000 5.6048
Sc Hg N
12 4 4
direct
0.0636 0.7153 0.9273
0.1947 0.5716 0.4181
0.2847 0.9364 0.5727
0.3187 0.4549 0.9150
0.4284 0.8053 0.0819
0.4549 0.3187 0.4150
0.5451 0.6813 0.5850
0.5716 0.1947 0.9181
0.6813 0.5451 0.0850
0.7153 0.0636 0.4273
0.8053 0.4284 0.5819
0.9364 0.2847 0.0727
0.0800 0.2215 0.5741
0.2215 0.0800 0.0741
0.7785 0.9200 0.9259
0.9200 0.7785 0.4259
0.3024 0.6976 0.7500
0.4386 0.5614 0.2500
0.5614 0.4386 0.7500
0.6976 0.3024 0.2500
```

Output
The calculated total energy is -128.14 eV/cell. As for the space group: No. 15. The value obtained for the uncorrected formation energy is -0.882 eV/atom.

=====

First-principles (GGA-PBE) data for a geometry-optimized ScHg3N structure, as listed in Alexandria via LeMat-Bulk.

Structure (POSCAR):
```
ScHg3N
1.0
4.7538 0.0000 0.0000
0.0000 4.7538 0.0000
0.0000 0.0000 4.7538
Sc Hg N
1 3 1
direct
0.0000 0.0000 0.0000
0.0000 0.5000 0.5000
0.5000 0.0000 0.5000
0.5000 0.5000 0.0000
0.5000 0.5000 0.5000
```

Output
The calculated total energy is -11.60 eV/cell. As for the space group: No. 221. The value obtained for the uncorrected formation energy is 0.793 eV/atom. The calculation puts the energy above the most stable polymorph in this dataset at 0 meV per atom.

=====

First-principles (GGA-PBE) data for a geometry-optimized Sc3HgN structure, as listed in Alexandria via LeMat-Bulk.

Structure (POSCAR):
```
Sc3HgN
1.0
3.1473 1.8171 5.1403
-3.1473 1.8171 5.1403
0.0000 -3.6341 5.1403
Sc Hg N
6 2 2
direct
0.2330 0.7500 0.2670
0.2500 0.7330 0.7670
0.2670 0.2330 0.7500
0.7330 0.7670 0.2500
0.7500 0.2670 0.2330
0.7670 0.2500 0.7330
0.2500 0.2500 0.2500
0.7500 0.7500 0.7500
0.0000 0.0000 0.0000
0.5000 0.5000 0.5000
```

Output
The calculated total energy is -66.11 eV/cell. As for the space group: No. 167. The value obtained for the uncorrected formation energy is -1.087 eV/atom.

=====

First-principles (GGA-PBE) data for a geometry-optimized Sc3HgN structure, as listed in Alexandria via LeMat-Bulk.

Structure (POSCAR):
```
Sc3HgN
1.0
3.1462 0.0000 0.0000
0.0000 3.0797 7.3473
0.0000 -3.0797 7.3473
Sc Hg N
3 1 1
direct
0.0000 0.0000 0.0000
0.5000 0.0784 0.6051
0.5000 0.6051 0.0784
0.5000 0.1720 0.1720
0.0000 0.8481 0.8481
```

Output
The calculated total energy is -29.11 eV/cell. As for the space group: No. 38. The value obtained for the uncorrected formation energy is -0.297 eV/atom.

=====

First-principles (GGA-PBE) data for a geometry-optimized Sc3HgN structure, as listed in Alexandria via LeMat-Bulk.

Structure (POSCAR):
```
Sc3HgN
1.0
2.8516 1.6464 7.0967
-2.8516 1.6464 7.0967
0.0000 -3.2927 7.0967
Sc Hg N
6 2 2
direct
0.0488 0.7150 0.4094
0.2850 0.5906 0.9512
0.4094 0.0488 0.7150
0.5906 0.9512 0.2850
0.7150 0.4094 0.0488
0.9512 0.2850 0.5906
0.1622 0.1622 0.1622
0.8378 0.8378 0.8378
0.3374 0.3374 0.3374
0.6626 0.6626 0.6626
```

Output
The calculated total energy is -63.00 eV/cell. As for the space group: No. 148. The value obtained for the uncorrected formation energy is -0.776 eV/atom.

=====

First-principles (GGA-PBE) data for a geometry-optimized Sc3HgN structure, as listed in Alexandria via LeMat-Bulk.

Structure (POSCAR):
```
Sc3HgN
1.0
0.0000 5.9556 5.9556
5.9556 0.0000 5.9556
5.9556 5.9556 0.0000
Sc Hg N
12 4 4
direct
0.0601 0.0601 0.6899
0.0601 0.6899 0.0601
0.0601 0.6899 0.6899
0.3101 0.3101 0.9399
0.3101 0.9399 0.3101
0.3101 0.9399 0.9399
0.6899 0.0601 0.0601
0.6899 0.0601 0.6899
0.6899 0.6899 0.0601
0.9399 0.3101 0.3101
0.9399 0.3101 0.9399
0.9399 0.9399 0.3101
0.0000 0.5000 0.5000
0.5000 0.0000 0.5000
0.5000 0.5000 0.0000
0.5000 0.5000 0.5000
0.0000 0.0000 0.0000
0.0000 0.0000 0.5000
0.0000 0.5000 0.0000
0.5000 0.0000 0.0000
```

Output
The calculated total energy is -123.51 eV/cell. As for the space group: No. 227. The value obtained for the uncorrected formation energy is -0.651 eV/atom.

=====

First-principles (GGA-PBE) data for a geometry-optimized Sc3HgN structure, as listed in Alexandria via LeMat-Bulk.

Structure (POSCAR):
```
Sc3HgN
1.0
4.2040 0.0000 0.0000
0.0000 4.2040 0.0000
0.0000 0.0000 7.9050
Sc Hg N
3 1 1
direct
0.0000 0.0000 0.0000
0.0000 0.5000 0.6663
0.5000 0.0000 0.6663
0.0000 0.0000 0.3717
0.5000 0.5000 0.6344
```

Output
The calculated total energy is -28.24 eV/cell. As for the space group: No. 99. The value obtained for the uncorrected formation energy is -0.124 eV/atom.

=====

First-principles (GGA-PBE) data for a geometry-optimized Sc3HgN structure, as listed in Alexandria via LeMat-Bulk.

Structure (POSCAR):
```
Sc3HgN
1.0
-2.4473 6.3964 3.2576
2.4473 -6.3964 3.2576
2.4473 6.3964 -3.2576
Sc Hg N
6 2 2
direct
0.1587 0.4087 0.7500
0.2215 0.0971 0.1244
0.4726 0.0971 0.3756
0.5274 0.9029 0.6244
0.7785 0.9029 0.8756
0.8413 0.5913 0.2500
0.0000 0.5000 0.5000
0.5000 0.5000 0.0000
0.1551 0.9051 0.2500
0.8449 0.0949 0.7500
```

Output
The calculated total energy is -63.26 eV/cell. As for the space group: No. 74. The value obtained for the uncorrected formation energy is -0.802 eV/atom.

=====

First-principles (GGA-PBE) data for a geometry-optimized ScHgSeN2 structure, as listed in Alexandria via LeMat-Bulk.

Structure (POSCAR):
```
ScHgSeN2
1.0
4.2502 0.0000 0.0000
0.0000 4.2502 0.0000
0.0000 0.0000 5.5527
Sc Hg Se N
1 1 1 2
direct
0.0000 0.0000 0.0000
0.5000 0.5000 0.5000
0.0000 0.0000 0.5000
0.0000 0.5000 0.0000
0.5000 0.0000 0.0000
```

Output
The calculated total energy is -23.91 eV/cell. As for the space group: No. 123. The value obtained for the uncorrected formation energy is 0.571 eV/atom. The calculation puts the energy above the most stable polymorph in this dataset at 0 meV per atom.

=====

First-principles (GGA-PBE) data for a geometry-optimized ScHgSe2N structure, as listed in Alexandria via LeMat-Bulk.

Structure (POSCAR):
```
ScHgSe2N
1.0
5.3131 0.0000 0.0000
0.0000 5.3131 0.0000
0.0000 0.0000 4.0958
Sc Hg Se N
1 1 2 1
direct
0.0000 0.0000 0.0000
0.5000 0.5000 0.5000
0.0000 0.5000 0.5000
0.5000 0.0000 0.5000
0.5000 0.5000 0.0000
```

Output
The calculated total energy is -18.60 eV/cell. As for the space group: No. 123. The value obtained for the uncorrected formation energy is 0.666 eV/atom. The calculation puts the energy above the most stable polymorph in this dataset at 601 meV per atom.

=====

First-principles (GGA-PBE) data for a geometry-optimized ScHgSe2N structure, as listed in Alexandria via LeMat-Bulk.

Structure (POSCAR):
```
ScHgSe2N
1.0
5.2817 0.0000 0.0000
0.0000 5.2817 0.0000
0.0000 0.0000 4.1852
Sc Hg Se N
1 1 2 1
direct
0.0000 0.0000 0.0000
0.5000 0.5000 0.5000
0.0000 0.5000 0.0000
0.5000 0.0000 0.0000
0.0000 0.0000 0.5000
```

Output
The calculated total energy is -21.60 eV/cell. As for the space group: No. 123. The value obtained for the uncorrected formation energy is 0.065 eV/atom. The calculation puts the energy above the most stable polymorph in this dataset at 0 meV per atom.

=====

First-principles (GGA-PBE) data for a geometry-optimized ScHgSeN2 structure, as listed in Alexandria via LeMat-Bulk.

Structure (POSCAR):
```
ScHgSeN2
1.0
4.1561 0.0000 0.0000
0.0000 4.1561 0.0000
0.0000 0.0000 5.5780
Sc Hg Se N
1 1 1 2
direct
0.0000 0.0000 0.0000
0.5000 0.5000 0.5000
0.5000 0.5000 0.0000
0.0000 0.5000 0.5000
0.5000 0.0000 0.5000
```

Output
The calculated total energy is -20.43 eV/cell. As for the space group: No. 123. The value obtained for the uncorrected formation energy is 1.267 eV/atom. The calculation puts the energy above the most stable polymorph in this dataset at 696 meV per atom.

=====

First-principles (GGA-PBE) data for a geometry-optimized Sc4SnHgN structure, as listed in Alexandria via LeMat-Bulk.

Structure (POSCAR):
```
Sc4SnHgN
1.0
3.1079 -7.3913 0.0000
3.1079 7.3913 0.0000
0.0000 0.0000 6.2082
Sc Sn Hg N
8 2 2 2
direct
0.0000 0.5000 0.0000
0.0000 0.5000 0.5000
0.0878 0.9122 0.7500
0.4062 0.5938 0.7500
0.5000 0.0000 0.0000
0.5000 0.0000 0.5000
0.5938 0.4062 0.2500
0.9122 0.0878 0.2500
0.3929 0.6071 0.2500
0.6071 0.3929 0.7500
0.1115 0.8885 0.2500
0.8885 0.1115 0.7500
0.2495 0.7505 0.7500
0.7505 0.2495 0.2500
```

Output
The calculated total energy is -88.51 eV/cell. As for the space group: No. 63. The value obtained for the uncorrected formation energy is -0.900 eV/atom.

=====

First-principles (GGA-PBE) data for a geometry-optimized SrSc2HgN structure, as listed in Alexandria via LeMat-Bulk.

Structure (POSCAR):
```
SrSc2HgN
1.0
4.4973 0.0000 0.0000
0.0000 4.4973 0.0000
0.0000 0.0000 5.2388
Sr Sc Hg N
1 2 1 1
direct
0.0000 0.0000 0.0000
0.0000 0.5000 0.5000
0.5000 0.0000 0.5000
0.5000 0.5000 0.0000
0.0000 0.0000 0.5000
```

Output
The calculated total energy is -26.59 eV/cell. As for the space group: No. 123. The value obtained for the uncorrected formation energy is -0.723 eV/atom.

=====

First-principles (GGA-PBE) data for a geometry-optimized Sr2ScHgN structure, as listed in Alexandria via LeMat-Bulk.

Structure (POSCAR):
```
Sr2ScHgN
1.0
5.4646 0.0000 0.0000
0.0000 5.4646 0.0000
0.0000 0.0000 4.2685
Sr Sc Hg N
2 1 1 1
direct
0.0000 0.5000 0.0000
0.5000 0.0000 0.0000
0.0000 0.0000 0.5000
0.5000 0.5000 0.5000
0.0000 0.0000 0.0000
```

Output
The calculated total energy is -21.60 eV/cell. As for the space group: No. 123. The value obtained for the uncorrected formation energy is -0.656 eV/atom.

=====

First-principles (GGA-PBE) data for a geometry-optimized ScHgTe2N structure, as listed in Alexandria via LeMat-Bulk.

Structure (POSCAR):
```
ScHgTe2N
1.0
5.7959 0.0000 0.0000
0.0000 5.7959 0.0000
0.0000 0.0000 3.9496
Sc Hg Te N
1 1 2 1
direct
0.0000 0.0000 0.0000
0.5000 0.5000 0.5000
0.0000 0.5000 0.0000
0.5000 0.0000 0.0000
0.0000 0.0000 0.5000
```

Output
The calculated total energy is -20.52 eV/cell. As for the space group: No. 123. The value obtained for the uncorrected formation energy is 0.144 eV/atom. The calculation puts the energy above the most stable polymorph in this dataset at 0 meV per atom.

=====

First-principles (GGA-PBE) data for a geometry-optimized ScHgTe2N structure, as listed in Alexandria via LeMat-Bulk.

Structure (POSCAR):
```
ScHgTe2N
1.0
5.7136 0.0000 0.0000
0.0000 5.7136 0.0000
0.0000 0.0000 4.1041
Sc Hg Te N
1 1 2 1
direct
0.0000 0.0000 0.0000
0.5000 0.5000 0.5000
0.0000 0.5000 0.5000
0.5000 0.0000 0.5000
0.5000 0.5000 0.0000
```

Output
The calculated total energy is -17.43 eV/cell. As for the space group: No. 123. The value obtained for the uncorrected formation energy is 0.762 eV/atom. The calculation puts the energy above the most stable polymorph in this dataset at 618 meV per atom.